Record 1
# ZrNp2Sb4 GGA-PBE relaxed
data_ZrNp2Sb4
_chemical_formula_sum 'Zr1 Np2 Sb4'
_symmetry_space_group_name_H-M 'P 1'
_symmetry_Int_Tables_number 1
_cell_length_a 4.2875
_cell_length_b 4.2875
_cell_length_c 10.8013
_cell_angle_alpha 90.00
_cell_angle_beta 90.00
_cell_angle_gamma 90.00
loop_
_symmetry_equiv_pos_as_xyz
'x,y,z'
loop_
_atom_site_label
_atom_site_type_symbol
_atom_site_fract_x
_atom_site_fract_y
_atom_site_fract_z
_atom_site_occupancy
Zr1 Zr 0.0000 0.0000 0.0000 1
Np1 Np 0.0000 0.5000 0.7251 1
Np2 Np 0.5000 0.0000 0.2749 1
Sb1 Sb 0.0000 0.0000 0.5000 1
Sb2 Sb 0.0000 0.5000 0.1797 1
Sb3 Sb 0.5000 0.0000 0.8203 1
Sb4 Sb 0.5000 0.5000 0.5000 1
# * SG: No. 115
# * E_form (uncorrected): -0.199 eV/atom



Record 2
# LiY3Er3S8 GGA-PBE relaxed
data_LiY3Er3S8
_chemical_formula_sum 'Li1 Y3 Er3 S8'
_symmetry_space_group_name_H-M 'P 1'
_symmetry_Int_Tables_number 1
_cell_length_a 7.7403
_cell_length_b 7.7403
_cell_length_c 7.7403
_cell_angle_alpha 59.89
_cell_angle_beta 59.89
_cell_angle_gamma 59.89
loop_
_symmetry_equiv_pos_as_xyz
'x,y,z'
loop_
_atom_site_label
_atom_site_type_symbol
_atom_site_fract_x
_atom_site_fract_y
_atom_site_fract_z
_atom_site_occupancy
Li1 Li 0.0000 0.0000 0.0000 1
Y1 Y 0.0000 0.0000 0.5000 1
Y2 Y 0.0000 0.5000 0.0000 1
Y3 Y 0.5000 0.0000 0.0000 1
Er1 Er 0.0000 0.5000 0.5000 1
Er2 Er 0.5000 0.0000 0.5000 1
Er3 Er 0.5000 0.5000 0.0000 1
S1 S 0.2455 0.2455 0.7517 1
S2 S 0.2455 0.7517 0.2455 1
S3 S 0.2483 0.7545 0.7545 1
S4 S 0.2513 0.2513 0.2513 1
S5 S 0.7487 0.7487 0.7487 1
S6 S 0.7517 0.2455 0.2455 1
S7 S 0.7545 0.2483 0.7545 1
S8 S 0.7545 0.7545 0.2483 1
# * SG: No. 166
# * E_form (uncorrected): -1.997 eV/atom



Record 3
# Ni2PbBr GGA-PBE relaxed
data_Ni2PbBr
_chemical_formula_sum 'Ni2 Pb1 Br1'
_symmetry_space_group_name_H-M 'P 1'
_symmetry_Int_Tables_number 1
_cell_length_a 6.4330
_cell_length_b 6.4330
_cell_length_c 6.4330
_cell_angle_alpha 147.22
_cell_angle_beta 147.22
_cell_angle_gamma 47.04
loop_
_symmetry_equiv_pos_as_xyz
'x,y,z'
loop_
_atom_site_label
_atom_site_type_symbol
_atom_site_fract_x
_atom_site_fract_y
_atom_site_fract_z
_atom_site_occupancy
Ni1 Ni 0.0000 0.0000 0.0000 1
Ni2 Ni 0.7500 0.2500 0.5000 1
Pb1 Pb 0.2500 0.7500 0.5000 1
Br1 Br 0.5000 0.5000 0.0000 1
# * SG: No. 119
# * energy above the lowest structure with this stoichiometry: 371 meV/atom
# * E_form (uncorrected): 0.448 eV/atom



Record 4
# LiBiPb GGA-PBE relaxed
data_LiBiPb
_chemical_formula_sum 'Li2 Bi2 Pb2'
_symmetry_space_group_name_H-M 'P 1'
_symmetry_Int_Tables_number 1
_cell_length_a 7.0560
_cell_length_b 7.0560
_cell_length_c 4.9776
_cell_angle_alpha 90.00
_cell_angle_beta 90.00
_cell_angle_gamma 140.34
loop_
_symmetry_equiv_pos_as_xyz
'x,y,z'
loop_
_atom_site_label
_atom_site_type_symbol
_atom_site_fract_x
_atom_site_fract_y
_atom_site_fract_z
_atom_site_occupancy
Li1 Li 0.2500 0.7500 0.7500 1
Li2 Li 0.7500 0.2500 0.2500 1
Bi1 Bi 0.1170 0.8830 0.2500 1
Bi2 Bi 0.8830 0.1170 0.7500 1
Pb1 Pb 0.3997 0.6003 0.2500 1
Pb2 Pb 0.6003 0.3997 0.7500 1
# * E_form: -56 kJ/mol of formula units
# * SG: No. 63
# * energy above the lowest structure with this stoichiometry: 6 meV/atom



Record 5
# Ac2As4Ir3Au GGA-PBE relaxed
data_Ac2As4Ir3Au
_chemical_formula_sum 'Ac2 As4 Ir3 Au1'
_symmetry_space_group_name_H-M 'P 1'
_symmetry_Int_Tables_number 1
_cell_length_a 4.5402
_cell_length_b 4.5402
_cell_length_c 9.9552
_cell_angle_alpha 90.00
_cell_angle_beta 90.00
_cell_angle_gamma 90.00
loop_
_symmetry_equiv_pos_as_xyz
'x,y,z'
loop_
_atom_site_label
_atom_site_type_symbol
_atom_site_fract_x
_atom_site_fract_y
_atom_site_fract_z
_atom_site_occupancy
Ac1 Ac 0.0000 0.5000 0.2454 1
Ac2 Ac 0.5000 0.0000 0.7546 1
As1 As 0.0000 0.0000 0.0000 1
As2 As 0.0000 0.5000 0.6400 1
As3 As 0.5000 0.0000 0.3600 1
As4 As 0.5000 0.5000 0.0000 1
Ir1 Ir 0.0000 0.5000 0.8912 1
Ir2 Ir 0.5000 0.0000 0.1088 1
Ir3 Ir 0.5000 0.5000 0.5000 1
Au1 Au 0.0000 0.0000 0.5000 1
# * E_form: -681 kJ/mol of formula units
# * SG: No. 115



Record 6
# PmRe2Si3 GGA-PBE relaxed
data_PmRe2Si3
_chemical_formula_sum 'Pm2 Re4 Si6'
_symmetry_space_group_name_H-M 'P 1'
_symmetry_Int_Tables_number 1
_cell_length_a 6.1620
_cell_length_b 6.1620
_cell_length_c 5.5739
_cell_angle_alpha 90.00
_cell_angle_beta 90.00
_cell_angle_gamma 76.67
loop_
_symmetry_equiv_pos_as_xyz
'x,y,z'
loop_
_atom_site_label
_atom_site_type_symbol
_atom_site_fract_x
_atom_site_fract_y
_atom_site_fract_z
_atom_site_occupancy
Pm1 Pm 0.1655 0.8345 0.7500 1
Pm2 Pm 0.8345 0.1655 0.2500 1
Re1 Re 0.2946 0.2946 0.0000 1
Re2 Re 0.2946 0.2946 0.5000 1
Re3 Re 0.7054 0.7054 0.0000 1
Re4 Re 0.7054 0.7054 0.5000 1
Si1 Si 0.0396 0.6119 0.2500 1
Si2 Si 0.3881 0.9604 0.2500 1
Si3 Si 0.4354 0.5646 0.2500 1
Si4 Si 0.5646 0.4354 0.7500 1
Si5 Si 0.6119 0.0396 0.7500 1
Si6 Si 0.9604 0.3881 0.7500 1
# * SG: No. 63
# * E_form (uncorrected): -0.373 eV/atom



no.,D(E_F) (states/eV per cell)
1,20.8
2,4.3
3,2.9
4,2.5
5,5.8
6,5.5